Ba3Pd4Au4: optimized geometry, PBE.

a b c (Å): 7.194 7.194 7.194
angles (deg): 109.47 109.47 109.47
Positions (direct):
Ba: 0.500 0.500 0.000
Ba: 0.500 0.000 0.500
Ba: 0.000 0.500 0.500
Pd: 0.000 0.237 0.000
Pd: 0.000 0.000 0.237
Pd: 0.237 0.000 0.000
Pd: 0.763 0.763 0.763
Au: 0.000 0.603 0.000
Au: 0.603 0.000 0.000
Au: 0.000 0.000 0.603
Au: 0.397 0.397 0.397

Calculated values
- ΔE_f (eV/atom) = -0.5437
- final energy (eV/cell) = -45.6
- total magnetic moment (μB per formula unit) = 0.00
- space group = I-43m

***

MgTl2BiTe4: optimized geometry, PBE.

a b c (Å): 4.468 7.752 8.067
angles (deg): 108.76 90.00 90.00
Positions (direct):
Mg: 0.500 0.500 0.000
Tl: 0.500 0.000 0.500
Tl: 0.000 0.500 0.500
Bi: 0.000 0.000 0.000
Te: 0.500 0.256 0.225
Te: 0.500 0.744 0.775
Te: 0.000 0.275 0.784
Te: 0.000 0.725 0.216

Calculated values
- final energy (eV/cell) = -25.9
- energy relative to the elements, uncorrected (meV per atom) = -392
- total magnetic moment (μB per formula unit) = 0.00
- space group = P2/m